A relaxed CsCeGaSe4 crystal. Source: Alexandria, functional PBE.

Space-group type: P2_1/m
Final energy (eV per cell): -64.79

Lattice parameters (Å, degrees): 6.7831 6.9939 9.9619 90.00 109.19 90.00
Atoms (fractional coordinates):
Cs (0.2469, 0.2500, 0.0539)
Cs (0.7531, 0.7500, 0.9461)
Ce (0.2326, 0.2500, 0.5522)
Ce (0.7674, 0.7500, 0.4478)
Ga (0.2229, 0.7500, 0.3391)
Ga (0.7771, 0.2500, 0.6609)
Se (0.0233, 0.5139, 0.6953)
Se (0.0233, 0.9861, 0.6953)
Se (0.4232, 0.7500, 0.1815)
Se (0.4524, 0.7500, 0.5818)
Se (0.5476, 0.2500, 0.4182)
Se (0.5768, 0.2500, 0.8185)
Se (0.9767, 0.0139, 0.3047)
Se (0.9767, 0.4861, 0.3047)

---

A relaxed Cs2CeGaSe5 crystal. Source: Alexandria, functional PBE.

Space-group type: Cmc2_1
Final energy (eV per cell): -75.90

Lattice parameters (Å, degrees): 11.0244 11.0244 15.6271 90.00 90.00 158.73
Atoms (fractional coordinates):
Cs (0.1294, 0.8706, 0.5000)
Cs (0.1342, 0.8658, 0.8685)
Cs (0.8658, 0.1342, 0.3685)
Cs (0.8706, 0.1294, 0.0000)
Ce (0.1970, 0.8030, 0.1988)
Ce (0.8030, 0.1970, 0.6988)
Ga (0.4292, 0.5708, 0.6017)
Ga (0.5708, 0.4292, 0.1017)
Se (0.0571, 0.9429, 0.1946)
Se (0.3074, 0.6926, 0.8217)
Se (0.3168, 0.6832, 0.5656)
Se (0.3248, 0.6752, 0.1839)
Se (0.4883, 0.5117, 0.4742)
Se (0.5117, 0.4883, 0.9742)
Se (0.6752, 0.3248, 0.6839)
Se (0.6832, 0.3168, 0.0656)
Se (0.6926, 0.3074, 0.3217)
Se (0.9429, 0.0571, 0.6946)

---

A relaxed CsCeGe crystal. Source: Alexandria, functional PBE.

Space-group type: C2/m
ΔH_f (0 K) (eV/atom): -0.16

Lattice parameters (Å, degrees): 4.9492 4.9492 14.3462 101.11 101.11 56.15
Atoms (fractional coordinates):
Cs (0.0922, 0.0922, 0.3181)
Cs (0.9078, 0.9078, 0.6819)
Ce (0.3552, 0.3552, 0.9309)
Ce (0.6448, 0.6448, 0.0691)
Ge (0.3536, 0.3536, 0.1400)
Ge (0.6464, 0.6464, 0.8600)

---

A relaxed Cs3CeGe2O8 crystal. Source: Alexandria, functional PBE.

Space-group type: P-3m1
Final energy (eV per cell): -85.10

Lattice parameters (Å, degrees): 6.1506 6.1506 8.6208 90.00 90.00 120.00
Atoms (fractional coordinates):
Cs (0.0000, 0.0000, 0.0000)
Cs (0.3333, 0.6667, 0.7419)
Cs (0.6667, 0.3333, 0.2581)
Ce (0.0000, 0.0000, 0.5000)
Ge (0.3333, 0.6667, 0.2852)
Ge (0.6667, 0.3333, 0.7148)
O (0.1742, 0.3484, 0.3504)
O (0.1742, 0.8258, 0.3504)
O (0.3333, 0.6667, 0.0804)
O (0.3484, 0.1742, 0.6496)
O (0.6516, 0.8258, 0.3504)
O (0.6667, 0.3333, 0.9196)
O (0.8258, 0.1742, 0.6496)
O (0.8258, 0.6516, 0.6496)

---

A relaxed Cs2CeGe2O6 crystal. Source: Alexandria, functional PBE.

Space-group type: C2/m
Final energy (eV per cell): -70.05

Lattice parameters (Å, degrees): 6.2036 6.2036 7.1496 115.75 115.75 59.99
Atoms (fractional coordinates):
Cs (0.2250, 0.2250, 0.1766)
Cs (0.7750, 0.7750, 0.8234)
Ce (0.0000, 0.0000, 0.5000)
Ge (0.4329, 0.4329, 0.7975)
Ge (0.5671, 0.5671, 0.2025)
O (0.2440, 0.2440, 0.7052)
O (0.2448, 0.7202, 0.7076)
O (0.2798, 0.7552, 0.2924)
O (0.7202, 0.2448, 0.7076)
O (0.7552, 0.2798, 0.2924)
O (0.7560, 0.7560, 0.2948)

---

A relaxed CsCeGeO5 crystal. Source: Alexandria, functional PBE.

Space-group type: C2/c
Final energy (eV per cell): -105.66

Lattice parameters (Å, degrees): 6.5227 6.5227 8.2538 105.06 105.06 106.94
Atoms (fractional coordinates):
Cs (0.1674, 0.8326, 0.7500)
Cs (0.8326, 0.1674, 0.2500)
Ce (0.5000, 0.5000, 0.0000)
Ce (0.5000, 0.5000, 0.5000)
Ge (0.1952, 0.8048, 0.2500)
Ge (0.8048, 0.1952, 0.7500)
O (0.1013, 0.2841, 0.8818)
O (0.2278, 0.6396, 0.3896)
O (0.2841, 0.1013, 0.3818)
O (0.3604, 0.7722, 0.1104)
O (0.4515, 0.5485, 0.7500)
O (0.5485, 0.4515, 0.2500)
O (0.6396, 0.2278, 0.8896)
O (0.7159, 0.8987, 0.6182)
O (0.7722, 0.3604, 0.6104)
O (0.8987, 0.7159, 0.1182)

---

A relaxed CsCeGeO4 crystal. Source: Alexandria, functional PBE.

Space-group type: P2_1/m
Final energy (eV per cell): -94.56

Lattice parameters (Å, degrees): 6.0262 6.0860 8.1334 90.00 107.67 90.00
Atoms (fractional coordinates):
Cs (0.1964, 0.2500, 0.4319)
Cs (0.8036, 0.7500, 0.5681)
Ce (0.2853, 0.2500, 0.9599)
Ce (0.7147, 0.7500, 0.0401)
Ge (0.2496, 0.7500, 0.1531)
Ge (0.7504, 0.2500, 0.8469)
O (0.0462, 0.7500, 0.9417)
O (0.0690, 0.7500, 0.2888)
O (0.4488, 0.5251, 0.1696)
O (0.4488, 0.9749, 0.1696)
O (0.5512, 0.0251, 0.8304)
O (0.5512, 0.4749, 0.8304)
O (0.9310, 0.2500, 0.7112)
O (0.9538, 0.2500, 0.0583)

---

A relaxed Cs2CeGe2S6 crystal. Source: Alexandria, functional PBE.

Space-group type: C2/m
Final energy (eV per cell): -52.80

Lattice parameters (Å, degrees): 7.3827 7.3827 8.2800 117.66 117.66 60.14
Atoms (fractional coordinates):
Cs (0.2219, 0.2219, 0.2102)
Cs (0.7781, 0.7781, 0.7898)
Ce (0.0000, 0.0000, 0.5000)
Ge (0.4548, 0.4548, 0.8221)
Ge (0.5452, 0.5452, 0.1779)
S (0.2230, 0.7206, 0.2350)
S (0.2474, 0.2474, 0.6675)
S (0.2794, 0.7770, 0.7650)
S (0.7206, 0.2230, 0.2350)
S (0.7526, 0.7526, 0.3325)
S (0.7770, 0.2794, 0.7650)

---

Going through the records in order, we get volume values of 31.88, 38.27, 47.47, 20.17, 18.74, 18.89, 20.30, 30.03 Å³/atom.
Going through the records in order, we get density values of 4.90, 4.20, 4.03, 4.77, 5.21, 4.68, 4.79, 3.74 g/cm³.